An optimized crystal structure of Ac4ZnCu3. Source: Alexandria via LeMat-Bulk, functional PBE.

a b c (Å): 4.248 4.698 11.451
angles (deg): 90.00 90.00 90.00
Fractional positions:
Ac 0.000 0.000 0.000
Ac 0.000 0.500 0.276
Ac 0.500 0.000 0.487
Ac 0.500 0.500 0.779
Zn 0.000 0.000 0.700
Cu 0.000 0.500 0.571
Cu 0.500 0.000 0.200
Cu 0.500 0.500 0.074

Properties
space-group type = No. 25
formation energy = -158.3 meV/atom
D(E_F) = 0.8562 states/eV/atom
total DFT energy (no corrections) = -3.908 eV per atom